Entry 1:
Entry from Alexandria: Mg3Zr after structural relaxation (PBE).

The structure in extended XYZ format:
```
4
Lattice="5.164 2.981 0.972 -5.164 2.981 0.972 0.000 -5.962 0.972" Properties=species:S:1:pos:R:3 pbc="T T T"
Mg -2.582 -1.491 0.972
Mg -2.582 1.491 1.944
Mg 0.000 2.981 0.972
Zr 0.000 0.000 0.000
```

Calculated values
E_tot: -3.285 eV/atom
Symmetry: No. 166
Energy relative to the elements: 0.05 eV per atom

=====

Entry 2:
Entry from Alexandria: Ho2FePt after structural relaxation (PBE).

The structure in extended XYZ format:
```
4
Lattice="3.435 0.000 0.000 0.000 3.435 0.000 0.000 0.000 6.783" Properties=species:S:1:pos:R:3 pbc="T T T"
Ho 0.000 0.000 1.655
Ho 0.000 0.000 5.128
Fe 1.717 1.717 0.000
Pt 1.717 1.717 3.392
```

Calculated values
E_tot: -6.485 eV/atom
Symmetry: No. 123
Energy relative to the elements: -0.57 eV per atom

=====

Entry 3:
Entry from Alexandria: Pm2Pr4TmMg after structural relaxation (PBE).

The structure in extended XYZ format:
```
8
Lattice="5.112 0.000 0.000 0.000 5.112 0.000 0.000 0.000 10.167" Properties=species:S:1:pos:R:3 pbc="T T T"
Pm 0.000 0.000 0.000
Pm 2.556 2.556 5.083
Pr 0.000 2.556 2.519
Pr 0.000 2.556 7.648
Pr 2.556 0.000 2.519
Pr 2.556 0.000 7.648
Tm 0.000 0.000 5.083
Mg 2.556 2.556 0.000
```

Calculated values
E_tot: -4.332 eV/atom
Symmetry: No. 123
Energy relative to the elements: 0.00 eV per atom

=====

> Which formula does entry 1 have?

Mg3Zr